1.
Compound: PmThCd2
Source: Alexandria
Functional: PBE
Structure: relaxed

a b c (Å): 3.792 3.792 7.828
angles (deg): 90.00 90.00 90.00
Atoms (fractional coordinates):
Pm  0.000  0.000  0.000
Th  0.000  0.000  0.500
Cd  0.500  0.500  0.243
Cd  0.500  0.500  0.757

**Offset from the most stable computed form**: 0.0 meV/atom
**Calculated total energy**: -14.7 eV for the cell shown
**SG**: P4/mmm
**Crystal system**: tetragonal

2.
Compound: CePrErAg
Source: Alexandria
Functional: PBE
Structure: relaxed

a b c (Å): 5.362 5.362 5.362
angles (deg): 60.00 60.00 60.00
Atoms (fractional coordinates):
Ce  0.000  0.000  0.000
Pr  0.750  0.750  0.750
Er  0.250  0.250  0.250
Ag  0.500  0.500  0.500

**Calculated total energy**: -17.6 eV for the cell shown
**SG**: F-43m
**Crystal system**: cubic

3.
Compound: Ga2PtPbO
Source: Alexandria
Functional: PBE
Structure: relaxed

a b c (Å): 4.710 4.710 5.485
angles (deg): 90.00 90.00 90.00
Atoms (fractional coordinates):
Ga  0.000  0.500  0.000
Ga  0.500  0.000  0.000
Pt  0.000  0.000  0.000
Pb  0.000  0.000  0.500
O  0.500  0.500  0.500

**Calculated total energy**: -20.8 eV for the cell shown
**Raw formation energy**: -0.0108 eV per atom
**SG**: P4/mmm
**Crystal system**: tetragonal